Density functional theory data (PBE with a Hubbard U) for a relaxed LaV2ClO crystal.

a b c (Å): 4.4662 6.0516 4.4662
angles (deg): 90.00 90.00 90.00
With the nearest neighbours (Å) after each atom.
Atoms (fractional coordinates):
Cl  0.0000  0.0000  0.0000  4 V 2.23
V  0.0000  0.0000  0.5000  2 Cl 2.23
V  0.5000  0.0000  0.0000  2 Cl 2.23
O  0.0000  0.5000  0.0000  2 Cl 3.03, 4 La 3.16
La  0.5000  0.5000  0.5000  4 O 3.16

M_tot (μB/atom): 1.600
Symmetry: No. 123
Final energy (eV per atom): -4.947